Entry 1:
First-principles (PBE) data for an optimized crystal structure of AcSnIO2, as listed in Alexandria via LeMat-Bulk.

Structure (CIF):
```
data_AcSnIO2
_cell_length_a 7.973
_cell_length_b 4.297
_cell_length_c 8.256
_cell_angle_alpha 90.00
_cell_angle_beta 105.30
_cell_angle_gamma 90.00
_symmetry_space_group_name_H-M 'P 1 21/m 1'
_symmetry_Int_Tables_number 11
loop_
_symmetry_equiv_pos_as_xyz
'x,y,z'
'-x,-y,-z'
'-x,y+1/2,-z'
'x,-y+1/2,z'
loop_
_atom_site_label
_atom_site_type_symbol
_atom_site_fract_x
_atom_site_fract_y
_atom_site_fract_z
Ac1 Ac 0.164 0.250 0.410
Sn1 Sn 0.138 0.250 0.917
I1 I 0.446 0.750 0.264
O1 O 0.001 0.750 0.885
O2 O 0.013 0.750 0.379
```

Computed properties:
* energy: -6.0226 eV per atom
* formation energy without anion corrections: -2107 meV/atom



Entry 2:
First-principles (PBE) data for an optimized crystal structure of Sr2AcIO8, as listed in Alexandria via LeMat-Bulk.

Structure (CIF):
```
data_Sr2AcIO8
_cell_length_a 4.568
_cell_length_b 5.521
_cell_length_c 7.558
_cell_angle_alpha 90.08
_cell_angle_beta 90.00
_cell_angle_gamma 93.86
_symmetry_space_group_name_H-M 'P -1'
_symmetry_Int_Tables_number 2
loop_
_symmetry_equiv_pos_as_xyz
'x,y,z'
'-x,-y,-z'
loop_
_atom_site_label
_atom_site_type_symbol
_atom_site_fract_x
_atom_site_fract_y
_atom_site_fract_z
Sr1 Sr 0.001 0.001 0.269
Ac1 Ac 0.500 0.500 0.000
I1 I 0.500 0.500 0.500
O1 O 0.030 0.249 0.000
O2 O 0.117 0.339 0.501
O3 O 0.422 0.723 0.315
O4 O 0.423 0.723 0.685
```

Computed properties:
* energy: -5.7717 eV per atom
* formation energy without anion corrections: -1714 meV/atom



What is the formation energy without anion corrections in the second record?
-1714 meV/atom